# 1
! Mn2CdAuN PBE optimized geometry; values from VASP
! Total magnetic moment (μB per formula unit): 6.89
! E_form (uncorrected) (eV per atom): 1.972
! Symmetry: No. 123
! Total DFT energy (no corrections) (eV per atom): -4.200
! Calculated density (Mg/m³): 5.245
&SYSTEM
  ibrav = 0, nat = 5, ntyp = 4
/
ATOMIC_SPECIES
Mn 54.94 Mn.upf
Au 196.97 Au.upf
Cd 112.41 Cd.upf
N 14.01 N.upf
CELL_PARAMETERS angstrom
5.1736 0.0000 0.0000
0.0000 5.1736 0.0000
0.0000 0.0000 5.1243
ATOMIC_POSITIONS angstrom
Mn 2.5868 0.0000 0.0000
Mn 0.0000 2.5868 0.0000
Au 0.0000 0.0000 2.5621
Cd 0.0000 0.0000 0.0000
N 2.5868 2.5868 2.5621

=====

# 2
! TlAg3Mo PBE optimized geometry; values from VASP
! Total magnetic moment (μB per formula unit): 3.78
! ΔH_f (0 K) (eV/atom): 1.260
! Symmetry: No. 221
! Total DFT energy (no corrections) (eV per atom): -3.090
! Calculated density (Mg/m³): 6.914
&SYSTEM
  ibrav = 0, nat = 5, ntyp = 3
/
ATOMIC_SPECIES
Mo 95.94 Mo.upf
Ag 107.87 Ag.upf
Tl 204.38 Tl.upf
CELL_PARAMETERS angstrom
5.3115 0.0000 0.0000
0.0000 5.3115 0.0000
0.0000 0.0000 5.3115
ATOMIC_POSITIONS angstrom
Mo 0.0000 0.0000 0.0000
Ag 0.0000 2.6557 0.0000
Ag 0.0000 0.0000 2.6557
Ag 2.6557 0.0000 0.0000
Tl 2.6557 2.6557 2.6557

=====

# 3
! KTmI4 PBE optimized geometry; values from VASP
! Total magnetic moment (μB per formula unit): 0.00
! E_form (uncorrected) (eV per atom): -1.392
! Symmetry: No. 12
! Total DFT energy (no corrections) (eV per atom): -3.354
! Calculated density (Mg/m³): 4.035
&SYSTEM
  ibrav = 0, nat = 6, ntyp = 3
/
ATOMIC_SPECIES
I 126.90 I.upf
K 39.10 K.upf
Tm 168.93 Tm.upf
CELL_PARAMETERS angstrom
-3.0676 -7.0727 -1.8557
1.2264 -7.7981 -0.7499
-2.5385 -2.9786 7.9031
ATOMIC_POSITIONS angstrom
I -2.6398 -10.9216 3.0860
I -0.6915 -2.3119 1.1686
I -3.6882 -15.5374 4.1289
I -1.7399 -6.9278 2.2115
K -0.9206 -7.4354 -1.3028
Tm -1.2692 -1.4893 3.9515

=====

# 4
! Ta2InF PBE optimized geometry; values from VASP
! Total magnetic moment (μB per formula unit): 0.00
! E_form (uncorrected) (eV per atom): 0.488
! Symmetry: No. 141
! Total DFT energy (no corrections) (eV per atom): -6.591
! Calculated density (Mg/m³): 9.388
&SYSTEM
  ibrav = 0, nat = 8, ntyp = 3
/
ATOMIC_SPECIES
Ta 180.95 Ta.upf
F 19.00 F.upf
In 114.82 In.upf
CELL_PARAMETERS angstrom
4.9811 0.0000 0.0000
0.0000 4.9811 0.0000
2.4906 2.4906 7.0681
ATOMIC_POSITIONS angstrom
Ta 2.4902 1.2453 1.7670
Ta 3.7358 4.9815 5.3011
Ta 6.2264 4.9808 5.3011
Ta 2.4909 3.7358 1.7670
F 2.4906 4.9811 3.5341
F 2.4906 2.4906 0.0000
In 4.9811 2.4906 3.5341
In 0.0000 0.0000 0.0000

=====

# 5
! TiOsRu2 PBE optimized geometry; values from VASP
! Total magnetic moment (μB per formula unit): 0.59
! ΔH_f (0 K) (eV/atom): 0.077
! Symmetry: No. 225
! Total DFT energy (no corrections) (eV per atom): -9.342
! Calculated density (Mg/m³): 12.446
&SYSTEM
  ibrav = 0, nat = 4, ntyp = 3
/
ATOMIC_SPECIES
Ti 47.87 Ti.upf
Ru 101.07 Ru.upf
Os 190.23 Os.upf
CELL_PARAMETERS angstrom
0.0000 3.0852 3.0852
3.0852 0.0000 3.0852
3.0852 3.0852 0.0000
ATOMIC_POSITIONS angstrom
Ti 0.0000 0.0000 0.0000
Ru 4.6279 4.6279 4.6279
Ru 1.5426 1.5426 1.5426
Os 3.0852 3.0852 3.0852

=====

# 6
! TlHg2AuI PBE optimized geometry; values from VASP
! Total magnetic moment (μB per formula unit): 0.00
! E_form (uncorrected) (eV per atom): -0.179
! Symmetry: No. 123
! Total DFT energy (no corrections) (eV per atom): -1.738
! Calculated density (Mg/m³): 8.885
&SYSTEM
  ibrav = 0, nat = 5, ntyp = 4
/
ATOMIC_SPECIES
Hg 200.59 Hg.upf
Au 196.97 Au.upf
Tl 204.38 Tl.upf
I 126.90 I.upf
CELL_PARAMETERS angstrom
-1.1163 -5.1671 -1.1922
5.0870 -1.3874 1.2504
-1.6345 -0.9404 5.6064
ATOMIC_POSITIONS angstrom
Hg 2.5435 -0.6937 0.6252
Hg -0.5581 -2.5836 -0.5961
Au 0.0000 0.0000 0.0000
Tl -0.8173 -0.4702 2.8032
I 1.1681 -3.7475 2.8323